[1]
# LaAl2SbN, relaxed, DFT GGA-PBEsol
# - N(E_F): 0.33 states/eV per atom
# - V: 19.13 Å³/atom
# - ΔE_f (raw): -0.492 eV/atom
# - ρ: 5.706 g/cm³
# - Raw total energy: -5.815 eV/atom
# - Total magnetization: 0.00 μB per atom
data_LaAl2SbN
_chemical_formula_sum 'La1 Al2 Sb1 N1'
_space_group_name_H-M_alt 'P 1'
_space_group_IT_number 1
_cell_length_a 4.3429
_cell_length_b 4.3429
_cell_length_c 5.0711
_cell_angle_alpha 90.00
_cell_angle_beta 90.00
_cell_angle_gamma 90.00
loop_
_space_group_symop_operation_xyz
'x,y,z'
loop_
_atom_site_label
_atom_site_fract_x
_atom_site_fract_y
_atom_site_fract_z
_atom_site_occupancy
La1 0.0000 0.0000 0.0000 1
Al1 0.0000 0.5000 0.5000 1
Al2 0.5000 0.0000 0.5000 1
Sb1 0.5000 0.5000 0.0000 1
N1 0.0000 0.0000 0.5000 1

[2]
# TlAgHg2, relaxed, DFT GGA-PBEsol
# - N(E_F): 0.37 states/eV per atom
# - E_form: 0.08 eV per atom
# - V: 22.64 Å³/atom
# - ρ: 13.083 g/cm³
# - Raw total energy: -1.693 eV/atom
# - Total magnetization: 0.00 μB per atom
data_TlAgHg2
_chemical_formula_sum 'Tl1 Ag1 Hg2'
_space_group_name_H-M_alt 'P 1'
_space_group_IT_number 1
_cell_length_a 3.2718
_cell_length_b 4.9133
_cell_length_c 5.7509
_cell_angle_alpha 90.00
_cell_angle_beta 101.63
_cell_angle_gamma 90.00
loop_
_space_group_symop_operation_xyz
'x,y,z'
loop_
_atom_site_label
_atom_site_fract_x
_atom_site_fract_y
_atom_site_fract_z
_atom_site_occupancy
Tl1 0.0000 0.0000 0.0000 1
Ag1 0.5000 0.0000 0.5000 1
Hg1 0.3353 0.5000 0.7305 1
Hg2 0.6647 0.5000 0.2695 1

[3]
# RbFeAg3, relaxed, DFT GGA-PBEsol
# - N(E_F): 0.59 states/eV per atom
# - E_form: 0.72 eV per atom
# - V: 24.88 Å³/atom
# - ρ: 6.206 g/cm³
# - Raw total energy: -3.268 eV/atom
# - Total magnetization: 0.61 μB per atom
data_RbFeAg3
_chemical_formula_sum 'Rb1 Fe1 Ag3'
_space_group_name_H-M_alt 'P 1'
_space_group_IT_number 1
_cell_length_a 4.9920
_cell_length_b 4.9920
_cell_length_c 4.9920
_cell_angle_alpha 90.00
_cell_angle_beta 90.00
_cell_angle_gamma 90.00
loop_
_space_group_symop_operation_xyz
'x,y,z'
loop_
_atom_site_label
_atom_site_fract_x
_atom_site_fract_y
_atom_site_fract_z
_atom_site_occupancy
Rb1 0.0000 0.0000 0.0000 1
Fe1 0.5000 0.5000 0.5000 1
Ag1 0.0000 0.5000 0.5000 1
Ag2 0.5000 0.0000 0.5000 1
Ag3 0.5000 0.5000 0.0000 1

[4]
# BeZnSe2, relaxed, DFT GGA-PBEsol
# - N(E_F): 0.00 states/eV per atom
# - V: 19.43 Å³/atom
# - ΔE_f (raw): -0.726 eV/atom
# - ρ: 4.965 g/cm³
# - E above lowest polymorph: 0.00 kcal/mol of atoms
# - Raw total energy: -4.046 eV/atom
# - Total magnetization: 0.00 μB per atom
data_BeZnSe2
_chemical_formula_sum 'Be2 Zn2 Se4'
_space_group_name_H-M_alt 'P 1'
_space_group_IT_number 1
_cell_length_a 6.5531
_cell_length_b 6.5531
_cell_length_c 6.5531
_cell_angle_alpha 131.31
_cell_angle_beta 131.31
_cell_angle_gamma 71.32
loop_
_space_group_symop_operation_xyz
'x,y,z'
loop_
_atom_site_label
_atom_site_fract_x
_atom_site_fract_y
_atom_site_fract_z
_atom_site_occupancy
Be1 0.0000 0.0000 0.0000 1
Be2 0.7500 0.2500 0.5000 1
Zn1 0.2500 0.7500 0.5000 1
Zn2 0.5000 0.5000 0.0000 1
Se1 0.0927 0.6250 0.9677 1
Se2 0.3750 0.3427 0.4677 1
Se3 0.6573 0.1250 0.0323 1
Se4 0.8750 0.9073 0.5323 1

[5]
# Co2WAu, relaxed, DFT GGA-PBEsol
# - N(E_F): 1.41 states/eV per atom
# - E_form: 0.45 eV per atom
# - V: 13.45 Å³/atom
# - ρ: 15.389 g/cm³
# - Raw total energy: -7.848 eV/atom
# - Total magnetization: 0.43 μB per atom
data_Co2WAu
_chemical_formula_sum 'Co2 W1 Au1'
_space_group_name_H-M_alt 'P 1'
_space_group_IT_number 1
_cell_length_a 5.0095
_cell_length_b 5.0095
_cell_length_c 2.6325
_cell_angle_alpha 103.69
_cell_angle_beta 103.69
_cell_angle_gamma 114.90
loop_
_space_group_symop_operation_xyz
'x,y,z'
loop_
_atom_site_label
_atom_site_fract_x
_atom_site_fract_y
_atom_site_fract_z
_atom_site_occupancy
Co1 0.0000 0.5000 0.0000 1
Co2 0.5000 0.0000 0.0000 1
W1 0.0000 0.0000 0.5000 1
Au1 0.5000 0.5000 0.5000 1

[6]
# ScCr2Br, relaxed, DFT GGA-PBEsol
# - N(E_F): 0.90 states/eV per atom
# - V: 15.25 Å³/atom
# - ΔE_f (raw): 0.707 eV/atom
# - ρ: 6.228 g/cm³
# - E above lowest polymorph: 15.59 kcal/mol of atoms
# - Raw total energy: -6.532 eV/atom
# - Total magnetization: 0.99 μB per atom
data_ScCr2Br
_chemical_formula_sum 'Sc1 Cr2 Br1'
_space_group_name_H-M_alt 'P 1'
_space_group_IT_number 1
_cell_length_a 4.3216
_cell_length_b 4.3216
_cell_length_c 3.2670
_cell_angle_alpha 90.00
_cell_angle_beta 90.00
_cell_angle_gamma 90.00
loop_
_space_group_symop_operation_xyz
'x,y,z'
loop_
_atom_site_label
_atom_site_fract_x
_atom_site_fract_y
_atom_site_fract_z
_atom_site_occupancy
Sc1 0.0000 0.0000 0.0000 1
Cr1 0.0000 0.5000 0.5000 1
Cr2 0.5000 0.0000 0.5000 1
Br1 0.5000 0.5000 0.0000 1